[1]
Crystalline RbAcTe at its relaxed geometry, computed with GGA-PBE.

Results
E in eV per atom: -3.408
Mass density in g cm⁻³: 5.54
Energy above the most stable polymorph in this dataset in kJ per mole of atoms: 8.2
Formation energy without anion corrections in eV per atom: -0.6689

a = 8.4233 Å, b = 7.2084 Å, c = 8.6962 Å
α = 90.00°, β = 90.00°, γ = 90.00°
Closest atoms and distances in Å follow each position.
Space group Pnma (No. 62)
Symmetry-distinct sites (fractional):
Rb: 0.0005 0.2500 0.0850  2 Te 3.59-3.60, 2 Rb 3.90
Ac: 0.0000 0.0000 0.5000  4 Te 3.52, 2 Ac 3.60
Te: 0.2504 0.2500 0.7497  4 Ac 3.52, 2 Rb 3.59-3.60



[2]
Crystalline RbAc5Te6 at its relaxed geometry, computed with GGA-PBE.

Results
E in eV per atom: -4.827
Mass density in g cm⁻³: 7.10
Formation energy without anion corrections in eV per atom: -1.4639

a = 8.2739 Å, b = 14.3095 Å, c = 8.3204 Å
α = 90.00°, β = 109.33°, γ = 90.00°
Closest atoms and distances in Å follow each position.
Space group C2/m (No. 12)
Symmetry-distinct sites (fractional):
Rb: 0.0000 0.0000 0.0000  6 Te 3.43-3.48
Ac: 0.0000 0.1603 0.5000  6 Te 3.35-3.38
Ac: 0.0000 0.3331 0.0000  6 Te 3.35-3.39
Ac: 0.0000 0.5000 0.5000  6 Te 3.34-3.38
Te: 0.2412 0.5000 0.2482  5 Ac 3.34-3.36, 1 Rb 3.43
Te: 0.2428 0.3286 0.7422  5 Ac 3.35-3.39, 1 Rb 3.48



[3]
Crystalline RbAcTe2 at its relaxed geometry, computed with GGA-PBE.

Results
E in eV per atom: -4.334
Mass density in g cm⁻³: 5.32
Energy above the most stable polymorph in this dataset in kJ per mole of atoms: 0.0
Formation energy without anion corrections in eV per atom: -1.4940

a = 4.8793 Å, b = 4.8793 Å, c = 25.7850 Å
α = 90.00°, β = 90.00°, γ = 120.00°
Closest atoms and distances in Å follow each position.
Space group R-3m (No. 166, hexagonal axes)
Symmetry-distinct sites (fractional):
Rb: 0.0000 0.0000 0.0000  6 Te 3.75
Ac: 0.0000 0.0000 0.5000  6 Te 3.36
Te: 0.0000 0.0000 0.2376  3 Ac 3.36, 3 Rb 3.75



[4]
Crystalline Rb4AcTh3Te8 at its relaxed geometry, computed with GGA-PBE.

Results
E in eV per atom: -4.689
Mass density in g cm⁻³: 5.93
Formation energy without anion corrections in eV per atom: -1.2281

a = 9.1916 Å, b = 9.1916 Å, c = 26.2400 Å
α = 90.00°, β = 90.00°, γ = 120.00°
Closest atoms and distances in Å follow each position.
Space group R-3m (No. 166, hexagonal axes)
Symmetry-distinct sites (fractional):
Rb: 0.0000 0.0000 0.0000  6 Te 3.58
Rb: 0.0000 0.5000 0.0000  6 Te 3.69
Ac: 0.0000 0.0000 0.5000  6 Te 3.32
Th: 0.0000 0.5000 0.5000  6 Te 3.20-3.21
Te: 0.0000 0.0000 0.2357  3 Th 3.21
Te: 0.0129 0.5064 0.7625  2 Th 3.20, 1 Ac 3.32



[5]
Crystalline Rb3AcTm2Te6 at its relaxed geometry, computed with GGA-PBE.

Results
E in eV per atom: -4.292
Mass density in g cm⁻³: 5.55
Formation energy without anion corrections in eV per atom: -1.3912

a = 7.9997 Å, b = 13.8614 Å, c = 8.9775 Å
α = 90.00°, β = 107.39°, γ = 90.00°
Closest atoms and distances in Å follow each position.
Space group C2/m (No. 12)
Symmetry-distinct sites (fractional):
Rb: 0.0000 0.0000 0.0000  6 Te 3.59-3.75
Rb: 0.0000 0.3383 0.0000  6 Te 3.61-3.77
Ac: 0.0000 0.5000 0.5000  6 Te 3.32
Tm: 0.0000 0.1673 0.5000  6 Te 3.11
Te: 0.2124 0.0000 0.7003  2 Tm 3.11, 1 Ac 3.32
Te: 0.2449 0.3228 0.7018  2 Tm 3.11, 1 Ac 3.32



[6]
Crystalline Rb4Ac3TmTe8 at its relaxed geometry, computed with GGA-PBE.

Results
E in eV per atom: -4.308
Mass density in g cm⁻³: 5.39
Formation energy without anion corrections in eV per atom: -1.4457

a = 9.5642 Å, b = 9.5642 Å, c = 25.7931 Å
α = 90.00°, β = 90.00°, γ = 120.00°
Closest atoms and distances in Å follow each position.
Space group R-3m (No. 166, hexagonal axes)
Symmetry-distinct sites (fractional):
Rb: 0.0000 0.0000 0.0000  6 Te 3.87
Rb: 0.0000 0.5000 0.0000  6 Te 3.68-3.69
Ac: 0.0000 0.5000 0.5000  6 Te 3.33-3.35
Tm: 0.0000 0.0000 0.5000  6 Te 3.14
Te: 0.0000 0.0000 0.2388  3 Ac 3.33, 3 Rb 3.68
Te: 0.0192 0.5096 0.2351  1 Tm 3.14, 2 Ac 3.35



[7]
Crystalline Rb2AcTmTe4 at its relaxed geometry, computed with GGA-PBE.

Results
E in eV per atom: -4.291
Mass density in g cm⁻³: 5.48
Formation energy without anion corrections in eV per atom: -1.4058

a = 8.1305 Å, b = 4.6812 Å, c = 8.9929 Å
α = 90.00°, β = 107.42°, γ = 90.00°
Closest atoms and distances in Å follow each position.
Space group P2/m (No. 10)
Symmetry-distinct sites (fractional):
Rb: 0.0000 0.0000 0.0000  6 Te 3.80
Rb: 0.5000 0.5000 0.0000  6 Te 3.63
Ac: 0.0000 0.5000 0.5000  6 Te 3.32-3.33
Tm: 0.5000 0.0000 0.5000  6 Te 3.11-3.14
Te: 0.2561 0.0000 0.7085  1 Tm 3.11, 2 Ac 3.32
Te: 0.2850 0.5000 0.3007  2 Tm 3.14, 1 Ac 3.33



[8]
Crystalline Rb3Ac2TmTe6 at its relaxed geometry, computed with GGA-PBE.

Results
E in eV per atom: -4.307
Mass density in g cm⁻³: 5.43
Formation energy without anion corrections in eV per atom: -1.4365

a = 8.2280 Å, b = 14.2555 Å, c = 9.0150 Å
α = 90.00°, β = 107.81°, γ = 90.00°
Closest atoms and distances in Å follow each position.
Space group C2/m (No. 12)
Symmetry-distinct sites (fractional):
Rb: 0.0000 0.0000 0.0000  6 Te 3.67-3.85
Rb: 0.0000 0.3291 0.0000  6 Te 3.67-3.81
Ac: 0.0000 0.1661 0.5000  6 Te 3.34
Tm: 0.0000 0.5000 0.5000  6 Te 3.12-3.13
Te: 0.2252 0.3435 0.7064  1 Tm 3.12, 2 Ac 3.34
Te: 0.2428 0.5000 0.2926  1 Tm 3.13, 2 Ac 3.34